# 1
# Li3Ca2In5

An optimized crystal structure of Li3Ca2In5 (PBE-GGA, Alexandria via LeMat-Bulk).

SG = No. 72
energy relative to the elements = -0.2668 eV/atom

Lattice parameters (Å, degrees): 9.420 9.420 9.420 97.05 95.68 141.10
Atoms (fractional coordinates):
Li: 0.129 0.628 0.757
Li: 0.250 0.250 0.000
Li: 0.371 0.128 0.499
Li: 0.629 0.872 0.501
Li: 0.750 0.750 0.000
Li: 0.871 0.372 0.243
Ca: 0.130 0.262 0.393
Ca: 0.370 0.762 0.132
Ca: 0.630 0.238 0.868
Ca: 0.870 0.738 0.607
In: 0.013 0.250 0.763
In: 0.110 0.841 0.951
In: 0.250 0.750 0.500
In: 0.390 0.341 0.731
In: 0.487 0.250 0.237
In: 0.513 0.750 0.763
In: 0.610 0.659 0.269
In: 0.750 0.250 0.500
In: 0.890 0.159 0.049
In: 0.987 0.750 0.237

***

# 2
# TmFeReSi3

An optimized crystal structure of TmFeReSi3 (PBE-GGA, Alexandria via LeMat-Bulk).

SG = No. 63
formation energy from raw total energies = -0.191 eV per atom

Lattice parameters (Å, degrees): 6.440 6.440 6.188 90.00 90.00 124.57
Atoms (fractional coordinates):
Tm: 0.223 0.777 0.750
Tm: 0.777 0.223 0.250
Fe: 0.105 0.895 0.250
Fe: 0.895 0.105 0.750
Re: 0.485 0.515 0.250
Re: 0.515 0.485 0.750
Si: 0.194 0.194 0.000
Si: 0.194 0.194 0.500
Si: 0.288 0.712 0.250
Si: 0.712 0.288 0.750
Si: 0.806 0.806 0.000
Si: 0.806 0.806 0.500

***

# 3
# Ac2Mg4TlIn3

An optimized crystal structure of Ac2Mg4TlIn3 (PBE-GGA, Alexandria via LeMat-Bulk).

SG = No. 115
energy relative to the elements = -0.3021 eV/atom

Lattice parameters (Å, degrees): 4.809 4.809 12.141 90.00 90.00 90.00
Atoms (fractional coordinates):
Ac: 0.000 0.500 0.249
Ac: 0.500 0.000 0.751
Mg: 0.000 0.000 0.000
Mg: 0.000 0.500 0.636
Mg: 0.500 0.000 0.364
Mg: 0.500 0.500 0.000
Tl: 0.000 0.000 0.500
In: 0.000 0.500 0.863
In: 0.500 0.000 0.137
In: 0.500 0.500 0.500

***

# 4
# RbNaCaCl2

An optimized crystal structure of RbNaCaCl2 (PBE-GGA, Alexandria via LeMat-Bulk).

SG = No. 123
formation energy from raw total energies = -1.103 eV per atom

Lattice parameters (Å, degrees): 5.353 5.353 9.990 90.00 90.00 90.00
Atoms (fractional coordinates):
Rb: 0.000 0.000 0.000
Na: 0.500 0.500 0.000
Ca: 0.000 0.000 0.500
Cl: 0.000 0.500 0.500
Cl: 0.500 0.000 0.500

***

# 5
# FeRu2Au

An optimized crystal structure of FeRu2Au (PBE-GGA, Alexandria via LeMat-Bulk).

SG = No. 25
energy relative to the elements = 0.2062 eV/atom

Lattice parameters (Å, degrees): 2.779 3.782 5.587 90.00 90.00 90.00
Atoms (fractional coordinates):
Fe: 0.000 0.000 0.000
Ru: 0.000 0.000 0.449
Ru: 0.500 0.500 0.245
Au: 0.500 0.500 0.744

***

# 6
# DyTlAg2Cl6

An optimized crystal structure of DyTlAg2Cl6 (PBE-GGA, Alexandria via LeMat-Bulk).

SG = No. 146
formation energy from raw total energies = -1.286 eV per atom

Lattice parameters (Å, degrees): 7.693 7.693 7.693 55.13 55.13 55.13
Atoms (fractional coordinates):
Dy: 0.000 0.000 0.000
Tl: 0.519 0.519 0.519
Ag: 0.325 0.325 0.325
Ag: 0.806 0.806 0.806
Cl: 0.065 0.394 0.749
Cl: 0.164 0.976 0.599
Cl: 0.394 0.749 0.065
Cl: 0.599 0.164 0.976
Cl: 0.749 0.065 0.394
Cl: 0.976 0.599 0.164

***

# 7
# MgP2Ru

An optimized crystal structure of MgP2Ru (PBE-GGA, Alexandria via LeMat-Bulk).

SG = No. 166
energy relative to the elements = -0.2381 eV/atom

Lattice parameters (Å, degrees): 6.460 6.460 6.460 31.79 31.79 31.79
Atoms (fractional coordinates):
Mg: 0.000 0.000 0.000
P: 0.237 0.237 0.237
P: 0.763 0.763 0.763
Ru: 0.500 0.500 0.500

***

# 8
# K4ZrNb3O12

An optimized crystal structure of K4ZrNb3O12 (PBE-GGA, Alexandria via LeMat-Bulk).

SG = No. 229
formation energy from raw total energies = -2.433 eV per atom

Lattice parameters (Å, degrees): 7.106 7.106 7.106 109.47 109.47 109.47
Atoms (fractional coordinates):
K: 0.000 0.000 0.500
K: 0.000 0.500 0.000
K: 0.500 0.000 0.000
K: 0.500 0.500 0.500
Zr: 0.000 0.000 0.000
Nb: 0.000 0.500 0.500
Nb: 0.500 0.000 0.500
Nb: 0.500 0.500 0.000
O: 0.000 0.258 0.258
O: 0.000 0.742 0.742
O: 0.250 0.500 0.750
O: 0.250 0.750 0.500
O: 0.258 0.000 0.258
O: 0.258 0.258 0.000
O: 0.500 0.250 0.750
O: 0.500 0.750 0.250
O: 0.742 0.000 0.742
O: 0.742 0.742 0.000
O: 0.750 0.250 0.500
O: 0.750 0.500 0.250

***

# 9
# Ce2ErPa

An optimized crystal structure of Ce2ErPa (PBE-GGA, Alexandria via LeMat-Bulk).

SG = No. 123
energy relative to the elements = 0.0790 eV/atom

Lattice parameters (Å, degrees): 3.348 3.348 9.831 90.00 90.00 90.00
Atoms (fractional coordinates):
Ce: 0.000 0.000 0.235
Ce: 0.000 0.000 0.765
Er: 0.500 0.500 0.500
Pa: 0.500 0.500 0.000

***

# 10
# SnAsCl

An optimized crystal structure of SnAsCl (PBE-GGA, Alexandria via LeMat-Bulk).

SG = No. 6
formation energy from raw total energies = -0.448 eV per atom

Lattice parameters (Å, degrees): 6.806 4.087 7.016 90.00 92.38 90.00
Atoms (fractional coordinates):
Sn: 0.000 0.000 0.000
Sn: 0.497 0.500 0.942
As: 0.369 0.000 0.149
As: 0.853 0.500 0.793
Cl: 0.307 0.500 0.641
Cl: 0.834 0.000 0.300

***

# 11
# MgI2NCl

An optimized crystal structure of MgI2NCl (PBE-GGA, Alexandria via LeMat-Bulk).

SG = No. 123
formation energy from raw total energies = 0.872 eV per atom

Lattice parameters (Å, degrees): 7.393 7.393 3.310 90.00 90.00 90.00
Atoms (fractional coordinates):
Mg: 0.000 0.000 0.000
I: 0.000 0.500 0.500
I: 0.500 0.000 0.500
N: 0.500 0.500 0.000
Cl: 0.500 0.500 0.500

***

# 12
# U2Si3Ru5

An optimized crystal structure of U2Si3Ru5 (PBE-GGA, Alexandria via LeMat-Bulk).

SG = No. 36
formation energy from raw total energies = -0.523 eV per atom

Lattice parameters (Å, degrees): 12.314 12.314 6.417 90.00 90.00 161.05
Atoms (fractional coordinates):
U: 0.011 0.989 0.500
U: 0.325 0.675 0.492
U: 0.675 0.325 0.992
U: 0.989 0.011 0.000
Si: 0.110 0.890 0.730
Si: 0.271 0.729 0.981
Si: 0.446 0.554 0.730
Si: 0.554 0.446 0.230
Si: 0.729 0.271 0.481
Si: 0.890 0.110 0.230
Ru: 0.104 0.896 0.146
Ru: 0.205 0.795 0.269
Ru: 0.209 0.791 0.687
Ru: 0.370 0.630 0.991
Ru: 0.446 0.554 0.345
Ru: 0.554 0.446 0.845
Ru: 0.630 0.370 0.491
Ru: 0.791 0.209 0.187
Ru: 0.795 0.205 0.769
Ru: 0.896 0.104 0.646

***

N(E_F) values, unit states/eV/cell, following the record order: 9.94; 1.50; 3.33; 1.35; 3.49; 0.00; 3.33; 10.88; 9.22; 0.00; 2.26; 19.22.
E_tot values, unit eV/atom, following the record order: -2.610; -7.133; -2.820; -2.699; -7.367; -3.661; -5.661; -7.565; -6.403; -3.948; -2.101; -9.045.